Run w
The following is a DFT calculation (PBE) of an optimized crystal structure of In2HgN2.

Cell lengths 4.2915, 4.2915, 13.1846 Å; angles 90.00, 90.00, 90.00 degrees
Last column: nearest neighbours and their distance in Å.
Atoms (fractional coordinates):
In 0.0000 0.5000 0.2500  4 N 2.21
In 0.0000 0.5000 0.7500  4 N 2.21
In 0.5000 0.0000 0.2500  4 N 2.21
In 0.5000 0.0000 0.7500  4 N 2.21
Hg 0.0000 0.0000 0.0000  10 N 3.84-4.10, 8 In 3.93, 4 Hg 4.29
Hg 0.5000 0.5000 0.5000  10 N 3.84-4.10, 8 In 3.93, 4 Hg 4.29
N 0.0000 0.0000 0.2912  4 In 2.21
N 0.0000 0.0000 0.7088  4 In 2.21
N 0.5000 0.5000 0.2088  4 In 2.21
N 0.5000 0.5000 0.7912  4 In 2.21

Properties
The crystal system is tetragonal. As for the space-group type: I4/mmm. The value obtained for the total magnetization is 0.0 μB/f.u.

---

Run x
The following is a DFT calculation (PBE) of an optimized crystal structure of In2HgN2.

Cell lengths 7.2927, 7.2927, 3.5125 Å; angles 90.00, 90.00, 90.00 degrees
Last column: nearest neighbours and their distance in Å.
Atoms (fractional coordinates):
In 0.1330 0.3670 0.0000  2 N 2.16
In 0.3670 0.8670 0.0000  2 N 2.16
In 0.6330 0.1330 0.0000  2 N 2.16
In 0.8670 0.6330 0.0000  2 N 2.16
Hg 0.0000 0.0000 0.5000  4 N 2.58
Hg 0.5000 0.5000 0.5000  4 N 2.58
N 0.2455 0.7455 0.5000  2 In 2.16
N 0.2545 0.2455 0.5000  2 In 2.16
N 0.7455 0.7545 0.5000  2 In 2.16
N 0.7545 0.2545 0.5000  2 In 2.16

Properties
The crystal system is tetragonal. As for the space-group type: P4/mbm. The value obtained for the total magnetization is 0.0 μB/f.u.

---

Verdict on stability: run w comes out on top.

---

Run w
The following is a DFT calculation (PBE) of an optimized crystal structure of InHgS2N.

Cell lengths 5.1880, 5.1880, 4.2249 Å; angles 90.00, 90.00, 90.00 degrees
Last column: nearest neighbours and their distance in Å.
Atoms (fractional coordinates):
In 0.0000 0.0000 0.0000  2 N 2.11
Hg 0.5000 0.5000 0.5000  8 S 3.35, 4 N 3.67
S 0.0000 0.5000 0.0000  2 In 2.59
S 0.5000 0.0000 0.0000  2 In 2.59
N 0.0000 0.0000 0.5000  2 In 2.11

Properties
The crystal system is tetragonal. As for the space-group type: P4/mmm. The value obtained for the total magnetization is 2.1 μB/f.u.

---

Run x
The following is a DFT calculation (PBE) of an optimized crystal structure of InHgS2N.

Cell lengths 5.2341, 5.2341, 4.1090 Å; angles 90.00, 90.00, 90.00 degrees
Last column: nearest neighbours and their distance in Å.
Atoms (fractional coordinates):
In 0.0000 0.0000 0.0000  8 S 3.33, 4 N 3.70
Hg 0.5000 0.5000 0.5000  2 N 2.05
S 0.0000 0.5000 0.5000  2 Hg 2.62
S 0.5000 0.0000 0.5000  2 Hg 2.62
N 0.5000 0.5000 0.0000  2 Hg 2.05

Properties
The crystal system is tetragonal. As for the space-group type: P4/mmm. The value obtained for the total magnetization is 1.9 μB/f.u.

---

Verdict on stability: run w comes out on top.

---

Run w
The following is a DFT calculation (PBE) of an optimized crystal structure of InHgSe2N.

Cell lengths 5.4664, 5.4664, 4.1420 Å; angles 90.00, 90.00, 90.00 degrees
Last column: nearest neighbours and their distance in Å.
Atoms (fractional coordinates):
In 0.0000 0.0000 0.0000  8 Se 3.43
Hg 0.5000 0.5000 0.5000  2 N 2.07
Se 0.0000 0.5000 0.5000  2 Hg 2.73
Se 0.5000 0.0000 0.5000  2 Hg 2.73
N 0.5000 0.5000 0.0000  2 Hg 2.07

Properties
The crystal system is tetragonal. As for the space-group type: P4/mmm. The value obtained for the total magnetization is 1.9 μB/f.u.

---

Run x
The following is a DFT calculation (PBE) of an optimized crystal structure of InHgSe2N.

Cell lengths 5.4415, 5.4415, 4.2125 Å; angles 90.00, 90.00, 90.00 degrees
Last column: nearest neighbours and their distance in Å.
Atoms (fractional coordinates):
In 0.0000 0.0000 0.0000  2 N 2.11
Hg 0.5000 0.5000 0.5000  8 Se 3.44, 4 N 3.85
Se 0.0000 0.5000 0.0000  2 In 2.72
Se 0.5000 0.0000 0.0000  2 In 2.72
N 0.0000 0.0000 0.5000  2 In 2.11

Properties
The crystal system is tetragonal. As for the space-group type: P4/mmm. The value obtained for the total magnetization is 2.2 μB/f.u.

---

Verdict on stability: run x comes out on top.

---

Run w
The following is a DFT calculation (PBE) of an optimized crystal structure of InHgTe2N.

Cell lengths 5.9844, 5.9844, 3.9832 Å; angles 90.00, 90.00, 90.00 degrees
Last column: nearest neighbours and their distance in Å.
Atoms (fractional coordinates):
In 0.0000 0.0000 0.0000  2 N 1.99
Hg 0.5000 0.5000 0.5000  8 Te 3.59, 2 Hg 3.98
Te 0.0000 0.5000 0.0000  2 In 2.99
Te 0.5000 0.0000 0.0000  2 In 2.99
N 0.0000 0.0000 0.5000  2 In 1.99

Properties
The crystal system is tetragonal. As for the space-group type: P4/mmm. The value obtained for the total magnetization is 0.0 μB/f.u.

---

Run x
The following is a DFT calculation (PBE) of an optimized crystal structure of InHgTe2N.

Cell lengths 5.9572, 5.9572, 4.0706 Å; angles 90.00, 90.00, 90.00 degrees
Last column: nearest neighbours and their distance in Å.
Atoms (fractional coordinates):
In 0.0000 0.0000 0.0000  8 Te 3.61
Hg 0.5000 0.5000 0.5000  2 N 2.04
Te 0.0000 0.5000 0.5000  2 Hg 2.98
Te 0.5000 0.0000 0.5000  2 Hg 2.98
N 0.5000 0.5000 0.0000  2 Hg 2.04

Properties
The crystal system is tetragonal. As for the space-group type: P4/mmm. The value obtained for the total magnetization is 1.7 μB/f.u.

---

Verdict on stability: run w comes out on top.

---

Run w
The following is a DFT calculation (PBE) of an optimized crystal structure of NaIn6Hg.

Cell lengths 6.6292, 6.6292, 4.7990 Å; angles 90.00, 90.00, 90.00 degrees
Last column: nearest neighbours and their distance in Å.
Atoms (fractional coordinates):
Na 0.0000 0.0000 0.0000  12 In 3.31-3.35
In 0.0000 0.5000 0.0000  2 Hg 3.31, 2 Na 3.31, 8 In 3.35
In 0.2493 0.2493 0.5000  8 In 3.31-3.35, 2 Na 3.35, 2 Hg 3.36
In 0.2493 0.7507 0.5000  8 In 3.31-3.35, 2 Na 3.35, 2 Hg 3.36
In 0.5000 0.0000 0.0000  2 Hg 3.31, 2 Na 3.31, 8 In 3.35
In 0.7507 0.2493 0.5000  8 In 3.31-3.35, 2 Na 3.35, 2 Hg 3.36
In 0.7507 0.7507 0.5000  8 In 3.31-3.35, 2 Na 3.35, 2 Hg 3.36
Hg 0.5000 0.5000 0.0000  12 In 3.31-3.36

Properties
The crystal system is tetragonal. As for the space-group type: P4/mmm. The value obtained for the total magnetization is 0.0 μB/f.u.

---

Run x
The following is a DFT calculation (PBE) of an optimized crystal structure of NaIn6Hg.

Cell lengths 5.1386, 6.9348, 12.0005 Å; angles 90.00, 90.00, 90.00 degrees
Last column: nearest neighbours and their distance in Å.
Atoms (fractional coordinates):
Na 0.0000 0.0000 0.0000  12 In 3.26-3.47
Na 0.0000 0.5000 0.5000  12 In 3.26-3.47
In 0.0000 0.0000 0.5035  2 Hg 3.24, 8 In 3.26-3.52, 2 Na 3.47
In 0.0000 0.2467 0.7492  2 Hg 3.24, 8 In 3.26-3.52, 2 Na 3.46-3.47
In 0.0000 0.2533 0.2492  2 Hg 3.24, 8 In 3.26-3.52, 2 Na 3.46-3.47
In 0.0000 0.5000 0.0035  2 Hg 3.24, 8 In 3.26-3.52, 2 Na 3.47
In 0.0000 0.7467 0.2492  2 Hg 3.24, 8 In 3.26-3.52, 2 Na 3.46-3.47
In 0.0000 0.7533 0.7492  2 Hg 3.24, 8 In 3.26-3.52, 2 Na 3.46-3.47
In 0.5000 0.0000 0.1673  2 Na 3.26, 8 In 3.26-3.47, 2 Hg 3.47
In 0.5000 0.2485 0.4169  2 Na 3.26, 8 In 3.26-3.49, 2 Hg 3.46-3.47
In 0.5000 0.2515 0.9169  2 Na 3.26, 8 In 3.26-3.49, 2 Hg 3.46-3.47
In 0.5000 0.5000 0.6673  2 Na 3.26, 8 In 3.26-3.47, 2 Hg 3.47
In 0.5000 0.7485 0.9169  2 Na 3.26, 8 In 3.26-3.49, 2 Hg 3.46-3.47
In 0.5000 0.7515 0.4169  2 Na 3.26, 8 In 3.26-3.49, 2 Hg 3.46-3.47
Hg 0.5000 0.0000 0.6679  12 In 3.24-3.47
Hg 0.5000 0.5000 0.1679  12 In 3.24-3.47

Properties
The crystal system is orthorhombic. As for the space-group type: Amm2. The value obtained for the total magnetization is 0.0 μB/f.u.

---

Verdict on stability: run w comes out on top.

---

Run w
The following is a DFT calculation (PBE) of an optimized crystal structure of Na4In2Hg5.

Cell lengths 8.6329, 3.4093, 10.1784 Å; angles 90.00, 96.38, 90.00 degrees
Last column: nearest neighbours and their distance in Å.
Atoms (fractional coordinates):
Na 0.2197 0.0000 0.3387  4 Hg 3.15-3.29, 2 Na 3.41, 2 In 3.49
Na 0.2681 0.0000 0.8649  8 Hg 3.13-3.45, 2 Na 3.41, 2 In 3.41
Na 0.7319 0.0000 0.1351  8 Hg 3.13-3.45, 2 Na 3.41, 2 In 3.41
Na 0.7803 0.0000 0.6613  4 Hg 3.15-3.29, 2 Na 3.41, 2 In 3.49
In 0.4252 0.5000 0.6211  1 In 2.91, 2 Hg 2.97-2.99
In 0.5748 0.5000 0.3789  1 In 2.91, 2 Hg 2.97-2.99
Hg 0.0000 0.5000 0.0000  4 Na 3.30, 4 Hg 3.38-3.41
Hg 0.0830 0.5000 0.6359  1 Hg 2.97, 1 In 2.97, 4 Na 3.15-3.17
Hg 0.3831 0.5000 0.1149  1 In 2.99, 4 Na 3.13-3.29, 1 Hg 3.26
Hg 0.6169 0.5000 0.8851  1 In 2.99, 4 Na 3.13-3.29, 1 Hg 3.26
Hg 0.9170 0.5000 0.3641  1 Hg 2.97, 1 In 2.97, 4 Na 3.15-3.17

Properties
The crystal system is monoclinic. As for the space-group type: P2/m. The value obtained for the total magnetization is 0.0 μB/f.u.

---

Run x
The following is a DFT calculation (PBE) of an optimized crystal structure of Na4In2Hg5.

Cell lengths 8.0781, 3.3899, 10.5828 Å; angles 90.00, 95.53, 90.00 degrees
Last column: nearest neighbours and their distance in Å.
Atoms (fractional coordinates):
Na 0.1705 0.0000 0.3993  8 Hg 3.25-3.56, 2 In 3.30, 2 Na 3.39
Na 0.2956 0.0000 0.9370  6 Hg 3.22-3.40, 4 In 3.37-3.42, 3 Na 3.39-3.44
Na 0.7044 0.0000 0.0630  6 Hg 3.22-3.40, 4 In 3.37-3.42, 3 Na 3.39-3.44
Na 0.8295 0.0000 0.6007  8 Hg 3.25-3.56, 2 In 3.30, 2 Na 3.39
In 0.0610 0.5000 0.1366  1 In 2.96, 2 Hg 3.04-3.08, 2 Na 3.30
In 0.9390 0.5000 0.8634  1 In 2.96, 2 Hg 3.04-3.08, 2 Na 3.30
Hg 0.1909 0.5000 0.6627  1 In 3.08, 4 Hg 3.17-3.39, 6 Na 3.25-3.40
Hg 0.4355 0.5000 0.2023  1 In 3.04, 4 Hg 3.14-3.39, 4 Na 3.22-3.38
Hg 0.5000 0.5000 0.5000  6 Hg 3.14-3.39, 4 Na 3.25
Hg 0.5645 0.5000 0.7977  1 In 3.04, 4 Hg 3.14-3.39, 4 Na 3.22-3.38
Hg 0.8091 0.5000 0.3373  1 In 3.08, 4 Hg 3.17-3.39, 6 Na 3.25-3.40

Properties
The crystal system is monoclinic. As for the space-group type: P2/m. The value obtained for the total magnetization is 0.0 μB/f.u.

---

Verdict on stability: run x comes out on top.